[1]
Compound: TbTcH
Source: Alexandria
Functional: GGA-PBE
Structure: relaxed

Calculated values
* spin magnetization: 0.00 Bohr magnetons per cell
* raw total energy: -37.144 eV per cell

abc: 3.453 3.518 8.784
angles: 113.71 90.00 90.00
Fractional coordinates of all 6 atoms:
H1 0.250 0.642 0.894
H2 0.750 0.358 0.106
Tb1 0.250 0.929 0.179
Tb2 0.750 0.071 0.821
Tc1 0.250 0.750 0.499
Tc2 0.750 0.250 0.501



[2]
Compound: Tb2TcH
Source: Alexandria
Functional: GGA-PBE
Structure: relaxed

Calculated values
* energy above the lowest structure with this stoichiometry: 43.1 kJ/mol of atoms
* spin magnetization: 0.86 Bohr magnetons per cell

abc: 3.198 3.198 8.535
angles: 79.20 79.20 60.00
Each line ends with the local moment (μB).
Fractional coordinates of all 4 atoms:
H1 0.500 0.500 0.500  0.00
Tb1 0.106 0.106 0.683  -0.01
Tb2 0.894 0.894 0.317  -0.01
Tc1 0.000 0.000 0.000  0.84



[3]
Compound: Tb2TcH6
Source: Alexandria
Functional: GGA-PBE
Structure: relaxed

Calculated values
* spin magnetization: 0.00 Bohr magnetons per cell
* raw total energy: -44.653 eV per cell

abc: 5.038 5.038 5.038
angles: 60.00 60.00 60.00
Fractional coordinates of all 9 atoms:
Tb1 0.250 0.250 0.250
Tb2 0.750 0.750 0.750
Tc1 0.000 0.000 0.000
H1 0.250 0.750 0.750
H2 0.250 0.750 0.250
H3 0.750 0.250 0.750
H4 0.750 0.250 0.250
H5 0.750 0.750 0.250
H6 0.250 0.250 0.750



What is the spin magnetization in the second record? 0.86 Bohr magnetons per cell